Computed, not measured: crystalline VCrRu at its relaxed geometry at the PBE level of DFT.

Calculated values
- N(E_F) (states/eV per cell) = 4.15
- space group = P4/nmm, No. 129
- magnetization (μB/cell) = 0.00
- ΔH_f (0 K) (eV/f.u.) = -0.40
- total energy (eV per formula unit) = -28.4
- energy above the most stable polymorph in this dataset (meV/atom) = 13.3

Unit cell a=2.9278 b=2.9278 c=9.1245 alpha=90.00 beta=90.00 gamma=90.00
Last column: nearest neighbours and their distance in Å.
Fractional positions:
Cr: 0.3725 0.7911 0.6830  4 Cr 2.46, 4 V 2.56
Cr: 0.8724 0.2911 0.8293  4 Cr 2.46, 4 V 2.56
V: 0.8725 0.2911 0.5173  4 Ru 2.50, 4 Cr 2.56
V: 0.3724 0.7911 0.9950  4 Ru 2.50, 4 Cr 2.56
Ru: 0.3725 0.7911 0.3635  4 V 2.50
Ru: 0.8724 0.2911 0.1488  4 V 2.50